Compound: La2DyCoPb
Source: Alexandria via LeMat-Bulk
Functional: PBE-GGA
Structure: optimized geometry

```
La2DyCoPb
1.0
5.1860 0.0000 0.0000
0.0000 5.1860 0.0000
0.0000 0.0000 5.3969
La Dy Co Pb
2 1 1 1
Direct
0.0000 0.5000 0.0000
0.5000 0.0000 0.0000
0.0000 0.0000 0.5000
0.0000 0.0000 0.0000
0.5000 0.5000 0.5000
```

Results
Crystal system: tetragonal
DFT formation energy: -369 meV per atom
Spin magnetization: 0.0 μB/f.u.

Compound: LaDyCoPd
Source: Alexandria via LeMat-Bulk
Functional: PBE-GGA
Structure: optimized geometry

```
LaDyCoPd
1.0
7.0353 0.0000 0.0000
0.0000 7.0353 0.0000
0.0000 0.0000 7.0353
La Dy Co Pd
4 4 4 4
Direct
0.0000 0.0000 0.0000
0.0000 0.5000 0.5000
0.5000 0.0000 0.5000
0.5000 0.5000 0.0000
0.0000 0.0000 0.5000
0.0000 0.5000 0.0000
0.5000 0.0000 0.0000
0.5000 0.5000 0.5000
0.2500 0.2500 0.7500
0.2500 0.7500 0.2500
0.7500 0.2500 0.2500
0.7500 0.7500 0.7500
0.2500 0.2500 0.2500
0.2500 0.7500 0.7500
0.7500 0.2500 0.7500
0.7500 0.7500 0.2500
```

Results
Crystal system: cubic
DFT formation energy: -387 meV per atom
Spin magnetization: 0.3 μB/f.u.